Here is a relaxed structure of ZrSbMoAu2 from Alexandria via LeMat-Bulk. Energies are from PBE-GGA.

Computed properties:
The space-group type is P4/mmm (123).

abc: 5.0197 5.0197 5.0339
angles: 90.00 90.00 90.00
Fractional positions:
Zr  0.0000  0.0000  0.0000
Sb  0.5000  0.5000  0.0000
Mo  0.5000  0.5000  0.5000
Au  0.0000  0.5000  0.5000
Au  0.5000  0.0000  0.5000

***

Here is a relaxed structure of Tb6SbAs3S2 from Alexandria via LeMat-Bulk. Energies are from PBE-GGA.

Computed properties:
The space-group type is C2/m (12).

abc: 9.2093 9.2093 8.2513
angles: 102.89 102.89 25.91
Fractional positions:
Tb  0.0020  0.0020  0.2640
Tb  0.3276  0.3276  0.9142
Tb  0.3328  0.3328  0.4158
Tb  0.6672  0.6672  0.5842
Tb  0.6724  0.6724  0.0858
Tb  0.9980  0.9980  0.7360
Sb  0.5000  0.5000  0.0000
As  0.1651  0.1651  0.8307
As  0.5000  0.5000  0.5000
As  0.8349  0.8349  0.1693
S  0.1695  0.1695  0.3376
S  0.8305  0.8305  0.6624

***

Here is a relaxed structure of Mg3NbFe8 from Alexandria via LeMat-Bulk. Energies are from PBE-GGA.

Computed properties:
The space-group type is R3m (160).

abc: 8.3882 8.3882 8.3882
angles: 33.66 33.66 33.66
Fractional positions:
Mg  0.0000  0.0000  0.0000
Mg  0.1243  0.1243  0.1243
Mg  0.6265  0.6265  0.6265
Nb  0.5014  0.5014  0.5014
Fe  0.0631  0.0631  0.5596
Fe  0.0631  0.5596  0.0631
Fe  0.0645  0.5639  0.5640
Fe  0.3127  0.3127  0.3127
Fe  0.5596  0.0631  0.0631
Fe  0.5640  0.0645  0.5640
Fe  0.5640  0.5640  0.0645
Fe  0.8130  0.8130  0.8130

***

E_tot (computed, eV/atom): -5.165; -6.138; -6.872